A | Here is an optimized crystal structure of BaLiLa2Tc from the Alexandria database. Energies are from PBE.

Computed properties:
Mass density, g cm⁻³: 5.60

Cell lengths 5.822, 4.547, 5.822 Å; angles 90.00, 90.00, 90.00 degrees
Fractional coordinates of all 5 atoms:
Tc: 0.500 0.500 0.500
Li: 0.000 0.500 0.000
Ba: 0.000 0.000 0.000
La: 0.000 0.000 0.500
La: 0.500 0.000 0.000

=====

B | Here is an optimized crystal structure of BaLiLa2Tc from the Alexandria database. Energies are from PBE.

Computed properties:
Mass density, g cm⁻³: 5.03

Cell lengths 5.382, 5.382, 5.933 Å; angles 90.00, 90.00, 90.00 degrees
Fractional coordinates of all 5 atoms:
Tc: 0.000 0.000 0.000
Li: 0.000 0.000 0.500
Ba: 0.500 0.500 0.500
La: 0.000 0.500 0.000
La: 0.500 0.000 0.000

=====

Here are the energies relative to the best structure, in meV/atom: A 1424; B 0.

=====

A | Here is an optimized crystal structure of BaLaLu from the Alexandria database. Energies are from PBE.

Computed properties:
Mass density, g cm⁻³: 6.17

Cell lengths 3.862, 3.862, 8.586 Å; angles 103.00, 103.00, 90.00 degrees
Fractional coordinates of all 3 atoms:
Lu: 0.680 0.680 0.361
Ba: 0.004 0.004 0.008
La: 0.316 0.316 0.632

=====

B | Here is an optimized crystal structure of BaLaLu from the Alexandria database. Energies are from PBE.

Computed properties:
Mass density, g cm⁻³: 6.28

Cell lengths 3.813, 3.813, 9.478 Å; angles 90.00, 90.00, 120.00 degrees
Fractional coordinates of all 3 atoms:
Lu: 0.667 0.333 0.350
Ba: 0.000 0.000 0.011
La: 0.333 0.667 0.639

=====

Here are the energies relative to the best structure, in meV/atom: A 0; B 13.

=====

A | Here is an optimized crystal structure of BaLa2Mg2 from the Alexandria database. Energies are from PBE.

Computed properties:
Mass density, g cm⁻³: 4.23

Cell lengths 9.927, 9.927, 3.691 Å; angles 90.00, 90.00, 90.00 degrees
Fractional coordinates of all 10 atoms:
Mg: 0.380 0.880 0.000
Mg: 0.880 0.620 0.000
Mg: 0.620 0.120 0.000
Mg: 0.120 0.380 0.000
Ba: 0.000 0.000 0.000
Ba: 0.500 0.500 0.000
La: 0.169 0.669 0.500
La: 0.669 0.831 0.500
La: 0.831 0.331 0.500
La: 0.331 0.169 0.500

=====

B | Here is an optimized crystal structure of BaLa2Mg2 from the Alexandria database. Energies are from PBE.

Computed properties:
Mass density, g cm⁻³: 4.29

Cell lengths 9.772, 9.772, 3.761 Å; angles 90.00, 90.00, 90.00 degrees
Fractional coordinates of all 10 atoms:
Mg: 0.177 0.677 0.500
Mg: 0.677 0.823 0.500
Mg: 0.823 0.323 0.500
Mg: 0.323 0.177 0.500
Ba: 0.000 0.000 0.000
Ba: 0.500 0.500 0.000
La: 0.387 0.887 0.000
La: 0.887 0.613 0.000
La: 0.613 0.113 0.000
La: 0.113 0.387 0.000

=====

Here are the energies relative to the best structure, in meV/atom: A 49; B 0.

=====

A | Here is an optimized crystal structure of BaLaMg14 from the Alexandria database. Energies are from PBE.

Computed properties:
Mass density, g cm⁻³: 2.45

Cell lengths 6.561, 6.561, 10.685 Å; angles 90.00, 90.00, 114.45 degrees
Fractional coordinates of all 16 atoms:
Ba: 0.401 0.599 0.500
La: 0.895 0.105 0.500
Mg: 0.817 0.183 0.000
Mg: 0.311 0.689 0.000
Mg: 0.394 0.095 0.500
Mg: 0.331 0.180 0.000
Mg: 0.905 0.606 0.500
Mg: 0.820 0.669 0.000
Mg: 0.138 0.359 0.222
Mg: 0.138 0.359 0.778
Mg: 0.641 0.862 0.222
Mg: 0.641 0.862 0.778
Mg: 0.647 0.353 0.252
Mg: 0.647 0.353 0.748
Mg: 0.136 0.864 0.249
Mg: 0.136 0.864 0.751

=====

B | Here is an optimized crystal structure of BaLaMg14 from the Alexandria database. Energies are from PBE.

Computed properties:
Mass density, g cm⁻³: 2.40

Cell lengths 6.841, 6.841, 10.543 Å; angles 90.00, 90.00, 120.00 degrees
Fractional coordinates of all 16 atoms:
Ba: 0.000 0.000 0.500
La: 0.000 0.000 0.000
Mg: 0.008 0.504 0.000
Mg: 0.015 0.508 0.500
Mg: 0.496 0.992 0.000
Mg: 0.492 0.985 0.500
Mg: 0.496 0.504 0.000
Mg: 0.492 0.508 0.500
Mg: 0.177 0.823 0.244
Mg: 0.177 0.823 0.756
Mg: 0.177 0.354 0.244
Mg: 0.177 0.354 0.756
Mg: 0.646 0.823 0.244
Mg: 0.646 0.823 0.756
Mg: 0.667 0.333 0.250
Mg: 0.667 0.333 0.750

=====

Here are the energies relative to the best structure, in meV/atom: A 7; B 0.

=====

A | Here is an optimized crystal structure of BaLaMg2Tc from the Alexandria database. Energies are from PBE.

Computed properties:
Mass density, g cm⁻³: 4.52

Cell lengths 5.509, 5.509, 5.113 Å; angles 90.00, 90.00, 90.00 degrees
Fractional coordinates of all 5 atoms:
Tc: 0.000 0.000 0.000
Mg: 0.000 0.500 0.000
Mg: 0.500 0.000 0.000
Ba: 0.500 0.500 0.500
La: 0.000 0.000 0.500

=====

B | Here is an optimized crystal structure of BaLaMg2Tc from the Alexandria database. Energies are from PBE.

Computed properties:
Mass density, g cm⁻³: 3.89

Cell lengths 6.093, 4.860, 6.093 Å; angles 90.00, 90.00, 90.00 degrees
Fractional coordinates of all 5 atoms:
Tc: 0.000 0.500 0.000
Mg: 0.000 0.000 0.500
Mg: 0.500 0.000 0.000
Ba: 0.500 0.500 0.500
La: 0.000 0.000 0.000

=====

Here are the energies relative to the best structure, in meV/atom: A 0; B 644.

=====

A | Here is an optimized crystal structure of BaLaMn3 from the Alexandria database. Energies are from PBE.

Computed properties:
Mass density, g cm⁻³: 4.63

Cell lengths 5.408, 5.408, 5.408 Å; angles 90.00, 90.00, 90.00 degrees
Site moments in Bohr magnetons follow the coordinates.
Fractional coordinates of all 5 atoms:
Mn: 0.000 0.500 0.000  3.76
Mn: 0.000 0.000 0.500  3.41
Mn: 0.500 0.000 0.000  3.96
Ba: 0.500 0.500 0.500  -0.06
La: 0.000 0.000 0.000  -0.32

=====

B | Here is an optimized crystal structure of BaLaMn3 from the Alexandria database. Energies are from PBE.

Computed properties:
Mass density, g cm⁻³: 4.73

Cell lengths 5.370, 5.370, 5.370 Å; angles 90.00, 90.00, 90.00 degrees
Site moments in Bohr magnetons follow the coordinates.
Fractional coordinates of all 5 atoms:
Mn: 0.000 0.500 0.000  3.91
Mn: 0.000 0.000 0.500  3.49
Mn: 0.500 0.000 0.000  4.11
Ba: 0.000 0.000 0.000  -0.13
La: 0.500 0.500 0.500  -0.15

=====

Here are the energies relative to the best structure, in meV/atom: A 0; B 410.

=====

A | Here is an optimized crystal structure of BaLa2Mn2 from the Alexandria database. Energies are from PBE.

Computed properties:
Mass density, g cm⁻³: 5.75

Cell lengths 9.157, 9.157, 3.614 Å; angles 90.00, 90.00, 90.00 degrees
Site moments in Bohr magnetons follow the coordinates.
Fractional coordinates of all 10 atoms:
Mn: 0.155 0.655 0.500  3.75
Mn: 0.655 0.845 0.500  3.76
Mn: 0.845 0.345 0.500  3.75
Mn: 0.345 0.155 0.500  3.76
Ba: 0.000 0.000 0.000  -0.10
Ba: 0.500 0.500 0.000  -0.10
La: 0.365 0.865 0.000  -0.21
La: 0.865 0.635 0.000  -0.22
La: 0.635 0.135 0.000  -0.21
La: 0.135 0.365 0.000  -0.22

=====

B | Here is an optimized crystal structure of BaLa2Mn2 from the Alexandria database. Energies are from PBE.

Computed properties:
Mass density, g cm⁻³: 5.48

Cell lengths 5.121, 5.121, 7.065 Å; angles 68.75, 68.75, 90.00 degrees
Site moments in Bohr magnetons follow the coordinates.
Fractional coordinates of all 5 atoms:
Mn: 0.750 0.250 0.500  3.06
Mn: 0.250 0.750 0.500  3.06
Ba: 0.000 0.000 0.000  -0.13
La: 0.350 0.350 0.301  -0.28
La: 0.650 0.650 0.699  -0.28

=====

Here are the energies relative to the best structure, in meV/atom: A 0; B 153.

=====

A | Here is an optimized crystal structure of Ba2LaMo from the Alexandria database. Energies are from PBE.

Computed properties:
Mass density, g cm⁻³: 5.93

Cell lengths 4.958, 4.958, 5.804 Å; angles 90.00, 90.00, 90.00 degrees
Site moments in Bohr magnetons follow the coordinates.
Fractional coordinates of all 4 atoms:
Ba: 0.000 0.000 0.000  -0.09
Ba: 0.500 0.500 0.000  -0.09
La: 0.500 0.000 0.500  -0.12
Mo: 0.000 0.500 0.500  2.32

=====

B | Here is an optimized crystal structure of Ba2LaMo from the Alexandria database. Energies are from PBE.

Computed properties:
Mass density, g cm⁻³: 5.52

Cell lengths 3.868, 3.868, 10.254 Å; angles 90.00, 90.00, 90.28 degrees
Site moments in Bohr magnetons follow the coordinates.
Fractional coordinates of all 4 atoms:
Ba: 0.000 0.000 0.927  -0.02
Ba: 0.500 0.500 0.291  -0.02
La: 0.000 0.000 0.578  0.00
Mo: 0.500 0.500 0.704  0.75

=====

C | Here is an optimized crystal structure of Ba2LaMo from the Alexandria database. Energies are from PBE.

Computed properties:
Mass density, g cm⁻³: 5.58

Cell lengths 7.348, 7.348, 7.348 Å; angles 149.59, 130.47, 59.24 degrees
Fractional coordinates of all 4 atoms:
Ba: 0.048 0.048 0.000
Ba: 0.740 0.240 0.500
La: 0.422 0.422 0.000
Mo: 0.290 0.790 0.500

=====

D | Here is an optimized crystal structure of Ba2LaMo from the Alexandria database. Energies are from PBE.

Computed properties:
Mass density, g cm⁻³: 5.01

Cell lengths 5.087, 5.087, 8.424 Å; angles 73.51, 73.51, 54.93 degrees
Fractional coordinates of all 4 atoms:
Ba: 0.954 0.954 0.096
Ba: 0.788 0.788 0.653
La: 0.560 0.560 0.376
Mo: 0.199 0.199 0.375

=====

Here are the energies relative to the best structure, in meV/atom: A 320; B 0; C 48; D 26.

=====

A | Here is an optimized crystal structure of BaLaMo from the Alexandria database. Energies are from PBE.

Computed properties:
Mass density, g cm⁻³: 6.07

Cell lengths 5.241, 5.241, 5.241 Å; angles 60.00, 60.00, 60.00 degrees
Site moments in Bohr magnetons follow the coordinates.
Fractional coordinates of all 3 atoms:
Ba: 0.000 0.000 0.000  -0.01
La: 0.500 0.500 0.500  -0.03
Mo: 0.750 0.750 0.750  1.31

=====

B | Here is an optimized crystal structure of BaLaMo from the Alexandria database. Energies are from PBE.

Computed properties:
Mass density, g cm⁻³: 6.36

Cell lengths 3.704, 3.704, 8.176 Å; angles 90.00, 90.00, 120.00 degrees
Fractional coordinates of all 3 atoms:
Ba: 0.000 0.000 0.948
La: 0.667 0.333 0.406
Mo: 0.333 0.667 0.646

=====

Here are the energies relative to the best structure, in meV/atom: A 188; B 0.

=====

A | Here is an optimized crystal structure of BaLaMo from the Alexandria database. Energies are from PBE.

Computed properties:
Mass density, g cm⁻³: 6.40

Cell lengths 7.399, 7.392, 3.739 Å; angles 75.46, 75.26, 29.28 degrees
Fractional coordinates of all 3 atoms:
Ba: 0.023 0.023 0.977
La: 0.287 0.287 0.713
Mo: 0.690 0.690 0.310

=====

B | Here is an optimized crystal structure of BaLaMo from the Alexandria database. Energies are from PBE.

Computed properties:
Mass density, g cm⁻³: 6.76

Cell lengths 5.188, 5.188, 3.925 Å; angles 90.00, 90.00, 120.00 degrees
Site moments in Bohr magnetons follow the coordinates.
Fractional coordinates of all 3 atoms:
Ba: 0.000 0.000 0.000  -0.04
La: 0.667 0.333 0.500  -0.08
Mo: 0.333 0.667 0.501  1.23

=====

Here are the energies relative to the best structure, in meV/atom: A 0; B 199.

=====

A | Here is an optimized crystal structure of Ba2LaMo2 from the Alexandria database. Energies are from PBE.

Computed properties:
Mass density, g cm⁻³: 5.96

Cell lengths 3.620, 3.620, 13.113 Å; angles 82.07, 82.07, 90.00 degrees
Fractional coordinates of all 5 atoms:
Mo: 0.750 0.250 0.500
Mo: 0.250 0.750 0.500
Ba: 0.370 0.370 0.261
Ba: 0.630 0.630 0.739
La: 0.000 0.000 0.000

=====

B | Here is an optimized crystal structure of Ba2LaMo2 from the Alexandria database. Energies are from PBE.

Computed properties:
Mass density, g cm⁻³: 6.09

Cell lengths 9.701, 9.701, 3.508 Å; angles 90.00, 90.00, 90.00 degrees
Fractional coordinates of all 10 atoms:
Mo: 0.077 0.577 0.500
Mo: 0.577 0.923 0.500
Mo: 0.923 0.423 0.500
Mo: 0.423 0.077 0.500
Ba: 0.296 0.796 0.000
Ba: 0.796 0.704 0.000
Ba: 0.704 0.204 0.000
Ba: 0.204 0.296 0.000
La: 0.000 0.000 0.000
La: 0.500 0.500 0.000

=====

Here are the energies relative to the best structure, in meV/atom: A 0; B 291.

=====

A | Here is an optimized crystal structure of Ba2Na2La from the Alexandria database. Energies are from PBE.

Computed properties:
Mass density, g cm⁻³: 3.25

Cell lengths 10.089, 10.089, 4.607 Å; angles 90.00, 90.00, 90.00 degrees
Site moments in Bohr magnetons follow the coordinates.
Fractional coordinates of all 10 atoms:
Na: 0.384 0.884 0.000  0.00
Na: 0.884 0.616 0.000  0.00
Na: 0.616 0.116 0.000  0.00
Na: 0.116 0.384 0.000  0.00
Ba: 0.187 0.687 0.500  0.05
Ba: 0.687 0.813 0.500  0.06
Ba: 0.813 0.313 0.500  0.05
Ba: 0.313 0.187 0.500  0.06
La: 0.000 0.000 0.000  0.20
La: 0.500 0.500 0.000  0.20

=====

B | Here is an optimized crystal structure of Ba2Na2La from the Alexandria database. Energies are from PBE.

Computed properties:
Mass density, g cm⁻³: 3.32

Cell lengths 10.803, 10.803, 3.943 Å; angles 90.00, 90.00, 90.00 degrees
Site moments in Bohr magnetons follow the coordinates.
Fractional coordinates of all 10 atoms:
Na: 0.163 0.663 0.500  0.00
Na: 0.663 0.837 0.500  0.00
Na: 0.837 0.337 0.500  0.00
Na: 0.337 0.163 0.500  0.00
Ba: 0.362 0.862 0.000  0.04
Ba: 0.862 0.638 0.000  0.04
Ba: 0.638 0.138 0.000  0.04
Ba: 0.138 0.362 0.000  0.04
La: 0.000 0.000 0.000  0.24
La: 0.500 0.500 0.000  0.24

=====

Here are the energies relative to the best structure, in meV/atom: A 0; B 97.